P) # BaMg2Cu2

A geometry-optimized BaMg2Cu2 structure (GGA-PBE, the Alexandria database).

Unit cell a=4.4472 b=4.4472 c=12.1402 alpha=90.00 beta=90.00 gamma=90.00
Fractional positions:
Ba  0.0000  0.0000  0.0000
Ba  0.5000  0.5000  0.5000
Mg  0.0000  0.5000  0.2500
Mg  0.0000  0.5000  0.7500
Mg  0.5000  0.0000  0.2500
Mg  0.5000  0.0000  0.7500
Cu  0.0000  0.0000  0.3913
Cu  0.0000  0.0000  0.6087
Cu  0.5000  0.5000  0.1087
Cu  0.5000  0.5000  0.8913

Space-group type: I4/mmm (139)
DOS(E_F) (states/eV/f.u.): 2.715

=====

Q) # BaMg2Cu2

A geometry-optimized BaMg2Cu2 structure (GGA-PBE, the Alexandria database).

Unit cell a=8.1882 b=8.1882 c=3.4270 alpha=90.00 beta=90.00 gamma=90.00
Fractional positions:
Ba  0.0000  0.0000  0.0000
Ba  0.5000  0.5000  0.0000
Mg  0.1485  0.3515  0.5000
Mg  0.3515  0.8515  0.5000
Mg  0.6485  0.1485  0.5000
Mg  0.8515  0.6485  0.5000
Cu  0.1169  0.6169  0.0000
Cu  0.3831  0.1169  0.0000
Cu  0.6169  0.8831  0.0000
Cu  0.8831  0.3831  0.0000

Space-group type: P4/mbm (127)
DOS(E_F) (states/eV/f.u.): 2.993

=====

R) # BaMg2Cu2

A geometry-optimized BaMg2Cu2 structure (GGA-PBE, the Alexandria database).

Unit cell a=4.9025 b=4.9025 c=10.3893 alpha=90.00 beta=90.00 gamma=90.00
Fractional positions:
Ba  0.0000  0.0000  0.0000
Ba  0.5000  0.5000  0.5000
Mg  0.0000  0.0000  0.3498
Mg  0.0000  0.0000  0.6502
Mg  0.5000  0.5000  0.1502
Mg  0.5000  0.5000  0.8498
Cu  0.0000  0.5000  0.2500
Cu  0.0000  0.5000  0.7500
Cu  0.5000  0.0000  0.2500
Cu  0.5000  0.0000  0.7500

Space-group type: I4/mmm (139)
DOS(E_F) (states/eV/f.u.): 2.854

=====

Which structure is most stable? P), by 0.064 eV/atom over the runner-up.

=====

P) # BaMg2Cu2

A geometry-optimized BaMg2Cu2 structure (GGA-PBE, the Alexandria database).

Unit cell a=8.4139 b=8.4139 c=3.0797 alpha=90.00 beta=90.00 gamma=90.00
Fractional positions:
Ba  0.0000  0.0000  0.0000
Ba  0.5000  0.5000  0.0000
Mg  0.1227  0.3773  0.0000
Mg  0.3773  0.8773  0.0000
Mg  0.6227  0.1227  0.0000
Mg  0.8773  0.6227  0.0000
Cu  0.1660  0.6660  0.5000
Cu  0.3340  0.1660  0.5000
Cu  0.6660  0.8340  0.5000
Cu  0.8340  0.3340  0.5000

Space-group type: P4/mbm (127)
DOS(E_F) (states/eV/f.u.): 2.680

=====

Q) # BaMg2Cu2

A geometry-optimized BaMg2Cu2 structure (GGA-PBE, the Alexandria database).

Unit cell a=11.3650 b=4.2263 c=5.3584 alpha=90.00 beta=104.70 gamma=90.00
Fractional positions:
Ba  0.0000  0.0000  0.0000
Ba  0.5000  0.5000  0.0000
Mg  0.1611  0.5000  0.5797
Mg  0.3389  0.0000  0.4203
Mg  0.6611  0.0000  0.5797
Mg  0.8389  0.5000  0.4203
Cu  0.2345  0.5000  0.1179
Cu  0.2655  0.0000  0.8821
Cu  0.7345  0.0000  0.1179
Cu  0.7655  0.5000  0.8821

Space-group type: C2/m (12)
DOS(E_F) (states/eV/f.u.): 2.975

=====

Which structure is most stable? Q), by 0.194 eV/atom over the runner-up.